(1)
# ZnCo2Ag (PBE-GGA, relaxed)
data_ZnCo2Ag
_symmetry_space_group_name_H-M 'P 1'
_symmetry_Int_Tables_number 1
_symmetry_space_group_name_Hall 'P 1'
_cell_length_a 2.6483
_cell_length_b 2.6483
_cell_length_c 7.6548
_cell_angle_alpha 90.00
_cell_angle_beta 90.00
_cell_angle_gamma 90.00
loop_
_atom_site_label
_atom_site_fract_x
_atom_site_fract_y
_atom_site_fract_z
_atom_site_occupancy
Co1 0.0000 0.0000 0.0171 1
Co2 0.0000 0.0000 0.4829 1
Ag1 0.5000 0.5000 0.7500 1
Zn1 0.5000 0.5000 0.2500 1
# Spin magnetization (μB/f.u.): 2.98
# DFT formation energy (kJ/mol of atoms): 27.20
# DOS(E_F) (states/eV per cell): 6.6
# Crystal system: tetragonal
# Electronic total energy (eV/cell): -17.21


(2)
# Zn2CoAg (PBE-GGA, relaxed)
data_Zn2CoAg
_symmetry_space_group_name_H-M 'P 1'
_symmetry_Int_Tables_number 1
_symmetry_space_group_name_Hall 'P 1'
_cell_length_a 4.6174
_cell_length_b 4.6174
_cell_length_c 2.7559
_cell_angle_alpha 89.94
_cell_angle_beta 89.94
_cell_angle_gamma 105.94
loop_
_atom_site_label
_atom_site_fract_x
_atom_site_fract_y
_atom_site_fract_z
_atom_site_occupancy
Co1 0.0000 0.5000 0.5000 1
Zn1 0.0000 0.0000 0.0000 1
Zn2 0.5000 0.5000 0.0000 1
Ag1 0.5000 0.0000 0.5000 1
# Spin magnetization (μB/f.u.): 0.86
# DFT formation energy (kJ/mol of atoms): 7.27
# DOS(E_F) (states/eV per cell): 3.2
# Crystal system: orthorhombic
# Electronic total energy (eV/cell): -12.20


(3)
# Zn2CoAg (PBE-GGA, relaxed)
data_Zn2CoAg
_symmetry_space_group_name_H-M 'P 1'
_symmetry_Int_Tables_number 1
_symmetry_space_group_name_Hall 'P 1'
_cell_length_a 2.7244
_cell_length_b 2.7244
_cell_length_c 7.7917
_cell_angle_alpha 90.00
_cell_angle_beta 90.00
_cell_angle_gamma 90.00
loop_
_atom_site_label
_atom_site_fract_x
_atom_site_fract_y
_atom_site_fract_z
_atom_site_occupancy
Zn1 0.5000 0.5000 0.2403 1
Zn2 0.0000 0.0000 0.9832 1
Co1 0.5000 0.5000 0.7665 1
Ag1 0.0000 0.0000 0.5101 1
# Spin magnetization (μB/f.u.): 1.40
# DFT formation energy (kJ/mol of atoms): 13.20
# DOS(E_F) (states/eV per cell): 3.5
# Crystal system: tetragonal
# Electronic total energy (eV/cell): -11.96


(4)
# Zn5CoAg (PBE-GGA, relaxed)
data_Zn5CoAg
_symmetry_space_group_name_H-M 'P 1'
_symmetry_Int_Tables_number 1
_symmetry_space_group_name_Hall 'P 1'
_cell_length_a 4.3514
_cell_length_b 4.3514
_cell_length_c 5.6851
_cell_angle_alpha 90.00
_cell_angle_beta 90.00
_cell_angle_gamma 90.00
loop_
_atom_site_label
_atom_site_fract_x
_atom_site_fract_y
_atom_site_fract_z
_atom_site_occupancy
Zn1 0.5000 0.0000 0.7832 1
Zn2 0.5000 0.0000 0.2168 1
Zn3 0.0000 0.5000 0.7832 1
Zn4 0.0000 0.5000 0.2168 1
Zn5 0.5000 0.5000 0.5000 1
Ag1 0.0000 0.0000 0.5000 1
Co1 0.5000 0.5000 0.0000 1
# Spin magnetization (μB/f.u.): 0.00
# DFT formation energy (kJ/mol of atoms): 2.62
# DOS(E_F) (states/eV per cell): 2.5
# Crystal system: tetragonal
# Electronic total energy (eV/cell): -16.14


(5)
# Zn2CoAg (PBE-GGA, relaxed)
data_Zn2CoAg
_symmetry_space_group_name_H-M 'P 1'
_symmetry_Int_Tables_number 1
_symmetry_space_group_name_Hall 'P 1'
_cell_length_a 2.8777
_cell_length_b 2.8777
_cell_length_c 6.7580
_cell_angle_alpha 90.00
_cell_angle_beta 90.00
_cell_angle_gamma 90.00
loop_
_atom_site_label
_atom_site_fract_x
_atom_site_fract_y
_atom_site_fract_z
_atom_site_occupancy
Zn1 0.0000 0.0000 0.9628 1
Zn2 0.0000 0.0000 0.5372 1
Co1 0.5000 0.5000 0.7500 1
Ag1 0.5000 0.5000 0.2500 1
# Spin magnetization (μB/f.u.): 0.00
# DFT formation energy (kJ/mol of atoms): -1.05
# DOS(E_F) (states/eV per cell): 2.9
# Crystal system: tetragonal
# Electronic total energy (eV/cell): -12.55


(6)
# Zn2CoAg (PBE-GGA, relaxed)
data_Zn2CoAg
_symmetry_space_group_name_H-M 'P 1'
_symmetry_Int_Tables_number 1
_symmetry_space_group_name_Hall 'P 1'
_cell_length_a 9.2641
_cell_length_b 9.2641
_cell_length_c 9.2641
_cell_angle_alpha 16.92
_cell_angle_beta 16.92
_cell_angle_gamma 16.92
loop_
_atom_site_label
_atom_site_fract_x
_atom_site_fract_y
_atom_site_fract_z
_atom_site_occupancy
Zn1 0.2505 0.2505 0.2505 1
Zn2 0.0067 0.0067 0.0067 1
Ag1 0.4964 0.4964 0.4964 1
Co1 0.7464 0.7464 0.7464 1
# Spin magnetization (μB/f.u.): 1.52
# DFT formation energy (kJ/mol of atoms): 14.51
# DOS(E_F) (states/eV per cell): 1.9
# Crystal system: trigonal
# Electronic total energy (eV/cell): -11.90


(7)
# Zn2CoAg (PBE-GGA, relaxed)
data_Zn2CoAg
_symmetry_space_group_name_H-M 'P 1'
_symmetry_Int_Tables_number 1
_symmetry_space_group_name_Hall 'P 1'
_cell_length_a 3.7811
_cell_length_b 3.7811
_cell_length_c 9.2646
_cell_angle_alpha 78.23
_cell_angle_beta 78.23
_cell_angle_gamma 90.00
loop_
_atom_site_label
_atom_site_fract_x
_atom_site_fract_y
_atom_site_fract_z
_atom_site_occupancy
Zn1 0.3750 0.3973 0.7500 1
Zn2 0.8750 0.8527 0.7500 1
Zn3 0.6027 0.1250 0.2500 1
Zn4 0.1473 0.6250 0.2500 1
Ag1 0.7500 0.2500 0.5000 1
Ag2 0.0000 0.0000 0.0000 1
Co1 0.2500 0.7500 0.5000 1
Co2 0.5000 0.5000 0.0000 1
# Spin magnetization (μB/f.u.): 1.03
# DFT formation energy (kJ/mol of atoms): 35.36
# DOS(E_F) (states/eV per cell): 3.7
# Crystal system: tetragonal
# Electronic total energy (eV/cell): -22.08


(8)
# Zn2CoAg (PBE-GGA, relaxed)
data_Zn2CoAg
_symmetry_space_group_name_H-M 'P 1'
_symmetry_Int_Tables_number 1
_symmetry_space_group_name_Hall 'P 1'
_cell_length_a 4.5194
_cell_length_b 4.5194
_cell_length_c 4.9711
_cell_angle_alpha 80.68
_cell_angle_beta 80.68
_cell_angle_gamma 35.11
loop_
_atom_site_label
_atom_site_fract_x
_atom_site_fract_y
_atom_site_fract_z
_atom_site_occupancy
Co1 0.2500 0.2500 0.2500 1
Zn1 0.5078 0.5078 0.4758 1
Zn2 0.9922 0.9922 0.0242 1
Ag1 0.7500 0.7500 0.7500 1
# Spin magnetization (μB/f.u.): 1.24
# DFT formation energy (kJ/mol of atoms): 9.35
# DOS(E_F) (states/eV per cell): 2.2
# Crystal system: monoclinic
# Electronic total energy (eV/cell): -12.12


(9)
# ZnCo2Ag (PBE-GGA, relaxed)
data_ZnCo2Ag
_symmetry_space_group_name_H-M 'P 1'
_symmetry_Int_Tables_number 1
_symmetry_space_group_name_Hall 'P 1'
_cell_length_a 3.6613
_cell_length_b 3.6613
_cell_length_c 4.0109
_cell_angle_alpha 90.00
_cell_angle_beta 90.00
_cell_angle_gamma 90.00
loop_
_atom_site_label
_atom_site_fract_x
_atom_site_fract_y
_atom_site_fract_z
_atom_site_occupancy
Co1 0.0000 0.0000 0.0000 1
Co2 0.5000 0.5000 0.0000 1
Zn1 0.5000 0.0000 0.5000 1
Ag1 0.0000 0.5000 0.5000 1
# Spin magnetization (μB/f.u.): 3.11
# DFT formation energy (kJ/mol of atoms): 24.94
# DOS(E_F) (states/eV per cell): 5.0
# Crystal system: tetragonal
# Electronic total energy (eV/cell): -17.30


(10)
# ZnCo2Ag (PBE-GGA, relaxed)
data_ZnCo2Ag
_symmetry_space_group_name_H-M 'P 1'
_symmetry_Int_Tables_number 1
_symmetry_space_group_name_Hall 'P 1'
_cell_length_a 4.5266
_cell_length_b 4.5266
_cell_length_c 4.5266
_cell_angle_alpha 129.86
_cell_angle_beta 129.86
_cell_angle_gamma 73.63
loop_
_atom_site_label
_atom_site_fract_x
_atom_site_fract_y
_atom_site_fract_z
_atom_site_occupancy
Ag1 0.7500 0.2500 0.5000 1
Co1 0.2500 0.7500 0.5000 1
Co2 0.0000 0.0000 0.0000 1
Zn1 0.5000 0.5000 0.0000 1
# Spin magnetization (μB/f.u.): 3.04
# DFT formation energy (kJ/mol of atoms): 23.28
# DOS(E_F) (states/eV per cell): 4.1
# Crystal system: tetragonal
# Electronic total energy (eV/cell): -17.37


What did the sixth record say?
# Zn2CoAg (PBE-GGA, relaxed)
data_Zn2CoAg
_symmetry_space_group_name_H-M 'P 1'
_symmetry_Int_Tables_number 1
_symmetry_space_group_name_Hall 'P 1'
_cell_length_a 9.2641
_cell_length_b 9.2641
_cell_length_c 9.2641
_cell_angle_alpha 16.92
_cell_angle_beta 16.92
_cell_angle_gamma 16.92
loop_
_atom_site_label
_atom_site_fract_x
_atom_site_fract_y
_atom_site_fract_z
_atom_site_occupancy
Zn1 0.2505 0.2505 0.2505 1
Zn2 0.0067 0.0067 0.0067 1
Ag1 0.4964 0.4964 0.4964 1
Co1 0.7464 0.7464 0.7464 1
# Spin magnetization (μB/f.u.): 1.52
# DFT formation energy (kJ/mol of atoms): 14.51
# DOS(E_F) (states/eV per cell): 1.9
# Crystal system: trigonal
# Electronic total energy (eV/cell): -11.90